ZrTc2Ru | GGA-PBE | relaxed

Summary:
energy of formation: -6 kJ/mol of atoms
V: 16.06 A^3/atom

a b c (Å): 3.1638 4.4008 4.6128
angles (deg): 90.00 90.00 90.00
Closest atoms and distances in Å follow each position.
Space group Pmmm (No. 47)
Inequivalent atoms, fractional coordinates:
Zr  0.0000  0.0000  0.0000 x1  4 Ru 2.71, 4 Tc 2.80
Tc  0.0000  0.5000  0.5000 x1  4 Tc 2.71, 4 Ru 2.80
Tc  0.5000  0.0000  0.5000 x1  4 Tc 2.71, 4 Zr 2.80
Ru  0.5000  0.5000  0.0000 x1  4 Zr 2.71, 4 Tc 2.80